# 1
DFT (PBE-GGA) results for a relaxed TbCeEuTh crystal.

a = 5.742 Å, b = 5.742 Å, c = 5.742 Å
α = 60.00°, β = 60.00°, γ = 60.00°
Sites, in units of the cell vectors:
1 Eu 0.000 0.000 0.000
2 Th 0.750 0.750 0.750
3 Tb 0.250 0.250 0.250
4 Ce 0.500 0.500 0.500

=====

# 2
DFT (PBE-GGA) results for a relaxed TbCeEuTl crystal.

a = 5.548 Å, b = 5.548 Å, c = 5.548 Å
α = 60.00°, β = 60.00°, γ = 60.00°
Sites, in units of the cell vectors:
1 Tl 0.000 0.000 0.000
2 Eu 0.500 0.500 0.500
3 Ce 0.750 0.750 0.750
4 Tb 0.250 0.250 0.250

=====

| no. | DFT formation energy (eV per atom) |
| --- | --- |
| 1 | 0.2953 |
| 2 | -0.0098 |